1.
An optimized crystal structure of Tl2CF, computed with PBE.

Computed properties:
Space group = I-42d (122)
Energy above the lowest structure with this stoichiometry = 0 kJ/mol of formula units
Total energy = -3.709 eV per atom
Density of states at the Fermi level = 0.1898 states/eV per atom

a b c (Å): 5.557 5.557 7.061
angles (deg): 66.83 66.83 90.00
Element x y z (fractional)
C: 0.250 0.750 0.500
C: 0.500 0.500 0.000
Tl: 0.171 0.625 0.250
Tl: 0.875 0.829 0.750
Tl: 0.579 0.125 0.250
Tl: 0.375 0.421 0.750
F: 0.750 0.250 0.500
F: 0.000 0.000 0.000

***

2.
An optimized crystal structure of AlVTeI2, computed with PBE.

Computed properties:
Space group = P4/mmm (123)
Energy above the lowest structure with this stoichiometry = 177 kJ/mol of formula units
Total energy = -3.341 eV per atom
Density of states at the Fermi level = 0.7353 states/eV per atom

a b c (Å): 5.451 5.451 5.585
angles (deg): 90.00 90.00 90.00
Each line ends with the local moment (μB).
Element x y z (fractional)
V: 0.500 0.500 0.500  3.10
I: 0.500 0.000 0.000  -0.02
I: 0.000 0.500 0.000  -0.02
Al: 0.000 0.000 0.000  0.01
Te: 0.000 0.000 0.500  -0.14